# Er3AsBrCl2 | OQMD via LeMat-Bulk | PBE | relaxed
# **SG**: P4/mmm
# **Total energy**: -4.85 eV per atom
data_Er3AsBrCl2
_chemical_formula_sum 'Er3 As1 Br1 Cl2'
_symmetry_space_group_name_H-M 'P 1'
_symmetry_Int_Tables_number 1
_symmetry_space_group_name_Hall 'P 1'
_cell_length_a 5.634
_cell_length_b 5.634
_cell_length_c 5.534
_cell_angle_alpha 90.00
_cell_angle_beta 90.00
_cell_angle_gamma 90.00
loop_
_atom_site_label
_atom_site_type_symbol
_atom_site_fract_x
_atom_site_fract_y
_atom_site_fract_z
_atom_site_occupancy
Er1 Er 0.000 0.000 0.000 1
Er2 Er 0.000 0.500 0.500 1
Er3 Er 0.500 0.000 0.500 1
As1 As 0.000 0.000 0.500 1
Br1 Br 0.500 0.500 0.500 1
Cl1 Cl 0.000 0.500 0.000 1
Cl2 Cl 0.500 0.000 0.000 1